Here is an optimized crystal structure of KSbAu2S4 from Alexandria via LeMat-Bulk. Energies are from GGA-PBE.

Values from the calculation:
The value obtained for the formation energy from raw total energies is -0.36 eV/atom. As for the symmetry: No. 23.

Structure (CIF):
```
data_KSbAu2S4
_chemical_formula_sum 'K1 Sb1 Au2 S4'
_cell_length_a 6.449
_cell_length_b 6.851
_cell_length_c 6.851
_cell_angle_alpha 78.20
_cell_angle_beta 61.92
_cell_angle_gamma 61.92
_space_group_name_H-M_alt 'P 1'
_space_group_IT_number 1
_space_group_name_Hall 'P 1'
loop_
_atom_site_label
_atom_site_fract_x
_atom_site_fract_y
_atom_site_fract_z
S1 0.371 0.169 0.506
S2 0.629 0.494 0.831
Au1 0.500 0.324 0.676
Sb1 0.000 0.500 0.500
S3 0.954 0.506 0.169
S4 0.046 0.831 0.494
K1 0.000 0.000 0.000
Au2 0.500 0.676 0.324
```

---

Here is an optimized crystal structure of KSiAu2S4 from Alexandria via LeMat-Bulk. Energies are from GGA-PBE.

Values from the calculation:
The value obtained for the formation energy from raw total energies is -0.52 eV/atom. As for the symmetry: No. 23.

Structure (CIF):
```
data_KSiAu2S4
_chemical_formula_sum 'K1 Si1 Au2 S4'
_cell_length_a 6.480
_cell_length_b 6.356
_cell_length_c 6.356
_cell_angle_alpha 82.24
_cell_angle_beta 59.35
_cell_angle_gamma 59.35
_space_group_name_H-M_alt 'P 1'
_space_group_IT_number 1
_space_group_name_Hall 'P 1'
loop_
_atom_site_label
_atom_site_fract_x
_atom_site_fract_y
_atom_site_fract_z
Au1 0.000 0.668 0.332
Si1 0.500 0.500 0.500
K1 0.500 0.000 0.000
S1 0.129 0.827 0.534
Au2 0.000 0.332 0.668
S2 0.871 0.466 0.173
S3 0.490 0.173 0.466
S4 0.510 0.534 0.827
```

---

Here is an optimized crystal structure of KSmAuS2 from Alexandria via LeMat-Bulk. Energies are from GGA-PBE.

Values from the calculation:
The value obtained for the formation energy from raw total energies is -1.14 eV/atom. As for the symmetry: No. 13.

Structure (CIF):
```
data_KSmAuS2
_chemical_formula_sum 'K2 Sm2 Au2 S4'
_cell_length_a 5.042
_cell_length_b 7.324
_cell_length_c 7.866
_cell_angle_alpha 100.40
_cell_angle_beta 90.00
_cell_angle_gamma 90.00
_space_group_name_H-M_alt 'P 1'
_space_group_IT_number 1
_space_group_name_Hall 'P 1'
loop_
_atom_site_label
_atom_site_fract_x
_atom_site_fract_y
_atom_site_fract_z
S1 0.328 0.246 0.038
K1 0.851 0.500 0.250
Sm1 0.508 0.000 0.750
Au1 0.000 0.000 0.000
Au2 0.000 0.000 0.500
S2 0.328 0.754 0.462
K2 0.149 0.500 0.750
S3 0.672 0.754 0.962
S4 0.672 0.246 0.538
Sm2 0.492 0.000 0.250
```

---

Here is an optimized crystal structure of K2SnAuS4 from Alexandria via LeMat-Bulk. Energies are from GGA-PBE.

Values from the calculation:
The value obtained for the formation energy from raw total energies is -0.57 eV/atom. As for the symmetry: No. 121.

Structure (CIF):
```
data_K2SnAuS4
_chemical_formula_sum 'K2 Sn1 Au1 S4'
_cell_length_a 6.953
_cell_length_b 6.521
_cell_length_c 6.521
_cell_angle_alpha 73.49
_cell_angle_beta 57.78
_cell_angle_gamma 57.78
_space_group_name_H-M_alt 'P 1'
_space_group_IT_number 1
_space_group_name_Hall 'P 1'
loop_
_atom_site_label
_atom_site_fract_x
_atom_site_fract_y
_atom_site_fract_z
S1 0.601 0.000 0.325
Sn1 0.000 0.000 0.000
K1 0.000 0.500 0.500
S2 0.926 0.000 0.675
S3 0.399 0.675 0.000
Au1 0.500 0.000 0.000
S4 0.074 0.325 0.000
K2 0.500 0.500 0.500
```

---

Here is an optimized crystal structure of K2TaAuS4 from Alexandria via LeMat-Bulk. Energies are from GGA-PBE.

Values from the calculation:
The value obtained for the formation energy from raw total energies is -0.96 eV/atom. As for the symmetry: No. 5.

Structure (CIF):
```
data_K2TaAuS4
_chemical_formula_sum 'K2 Ta1 Au1 S4'
_cell_length_a 7.212
_cell_length_b 8.430
_cell_length_c 6.462
_cell_angle_alpha 123.07
_cell_angle_beta 115.62
_cell_angle_gamma 101.06
_space_group_name_H-M_alt 'P 1'
_space_group_IT_number 1
_space_group_name_Hall 'P 1'
loop_
_atom_site_label
_atom_site_fract_x
_atom_site_fract_y
_atom_site_fract_z
S1 0.061 0.073 0.775
K1 0.471 0.971 0.942
Ta1 0.725 0.725 0.451
Au1 0.058 0.558 0.116
K2 0.230 0.230 0.460
S2 0.714 0.701 0.774
S3 0.376 0.703 0.129
S4 0.753 0.425 0.128
```

---

Here is an optimized crystal structure of KTb2AuS4 from Alexandria via LeMat-Bulk. Energies are from GGA-PBE.

Values from the calculation:
The value obtained for the formation energy from raw total energies is -1.55 eV/atom. As for the symmetry: No. 63.

Structure (CIF):
```
data_KTb2AuS4
_chemical_formula_sum 'K2 Tb4 Au2 S8'
_cell_length_a 4.043
_cell_length_b 7.092
_cell_length_c 14.155
_cell_angle_alpha 90.00
_cell_angle_beta 90.00
_cell_angle_gamma 106.56
_space_group_name_H-M_alt 'P 1'
_space_group_IT_number 1
_space_group_name_Hall 'P 1'
loop_
_atom_site_label
_atom_site_fract_x
_atom_site_fract_y
_atom_site_fract_z
Tb1 0.369 0.737 0.933
S1 0.736 0.473 0.897
Tb2 0.631 0.263 0.433
S2 0.000 0.000 0.500
Au1 0.159 0.318 0.250
S3 0.264 0.527 0.397
S4 0.264 0.527 0.103
S5 0.552 0.103 0.250
Tb3 0.631 0.263 0.067
K1 0.880 0.760 0.250
S6 0.000 0.000 0.000
K2 0.120 0.240 0.750
S7 0.448 0.897 0.750
S8 0.736 0.473 0.603
Au2 0.841 0.682 0.750
Tb4 0.369 0.737 0.567
```

---

Here is an optimized crystal structure of KTe2AuS4 from Alexandria via LeMat-Bulk. Energies are from GGA-PBE.

Values from the calculation:
The value obtained for the formation energy from raw total energies is -0.12 eV/atom. As for the symmetry: No. 23.

Structure (CIF):
```
data_KTe2AuS4
_chemical_formula_sum 'K1 Te2 Au1 S4'
_cell_length_a 7.038
_cell_length_b 6.652
_cell_length_c 6.652
_cell_angle_alpha 62.51
_cell_angle_beta 58.06
_cell_angle_gamma 58.06
_space_group_name_H-M_alt 'P 1'
_space_group_IT_number 1
_space_group_name_Hall 'P 1'
loop_
_atom_site_label
_atom_site_fract_x
_atom_site_fract_y
_atom_site_fract_z
Te1 0.770 0.730 0.730
S1 0.541 0.435 0.880
S2 0.144 0.880 0.435
Te2 0.230 0.270 0.270
S3 0.459 0.120 0.565
Au1 0.500 0.500 0.500
K1 0.000 0.000 0.000
S4 0.856 0.565 0.120
```

---

Here is an optimized crystal structure of K2ThAu2S4 from Alexandria via LeMat-Bulk. Energies are from GGA-PBE.

Values from the calculation:
The value obtained for the formation energy from raw total energies is -1.09 eV/atom. As for the symmetry: No. 12.

Structure (CIF):
```
data_K2ThAu2S4
_chemical_formula_sum 'K2 Th1 Au2 S4'
_cell_length_a 4.157
_cell_length_b 7.802
_cell_length_c 7.844
_cell_angle_alpha 109.45
_cell_angle_beta 105.37
_cell_angle_gamma 90.00
_space_group_name_H-M_alt 'P 1'
_space_group_IT_number 1
_space_group_name_Hall 'P 1'
loop_
_atom_site_label
_atom_site_fract_x
_atom_site_fract_y
_atom_site_fract_z
S1 0.196 0.208 0.391
S2 0.804 0.792 0.609
Th1 0.000 0.000 0.000
K1 0.865 0.424 0.729
S3 0.515 0.762 0.030
Au1 0.325 0.987 0.650
S4 0.485 0.238 0.970
Au2 0.675 0.013 0.350
K2 0.135 0.576 0.271
```

---

Here is an optimized crystal structure of K2TiAuS from Alexandria via LeMat-Bulk. Energies are from GGA-PBE.

Values from the calculation:
The value obtained for the formation energy from raw total energies is 0.33 eV/atom. As for the energy above the most stable polymorph in this dataset: 0 meV per atom. As for the symmetry: No. 123.

Structure (CIF):
```
data_K2TiAuS
_chemical_formula_sum 'K2 Ti1 Au1 S1'
_cell_length_a 5.909
_cell_length_b 5.196
_cell_length_c 5.909
_cell_angle_alpha 90.00
_cell_angle_beta 90.00
_cell_angle_gamma 90.00
_space_group_name_H-M_alt 'P 1'
_space_group_IT_number 1
_space_group_name_Hall 'P 1'
loop_
_atom_site_label
_atom_site_fract_x
_atom_site_fract_y
_atom_site_fract_z
K1 0.000 0.000 0.500
Au1 0.000 0.000 0.000
K2 0.500 0.000 0.000
S1 0.500 0.500 0.500
Ti1 0.000 0.500 0.000
```

---

Here is an optimized crystal structure of K2TiAuS from Alexandria via LeMat-Bulk. Energies are from GGA-PBE.

Values from the calculation:
The value obtained for the formation energy from raw total energies is 0.62 eV/atom. As for the energy above the most stable polymorph in this dataset: 293 meV per atom. As for the symmetry: No. 123.

Structure (CIF):
```
data_K2TiAuS
_chemical_formula_sum 'K2 Ti1 Au1 S1'
_cell_length_a 6.356
_cell_length_b 4.957
_cell_length_c 6.356
_cell_angle_alpha 90.00
_cell_angle_beta 90.00
_cell_angle_gamma 90.00
_space_group_name_H-M_alt 'P 1'
_space_group_IT_number 1
_space_group_name_Hall 'P 1'
loop_
_atom_site_label
_atom_site_fract_x
_atom_site_fract_y
_atom_site_fract_z
K1 0.500 0.000 0.000
Au1 0.000 0.500 0.000
S1 0.500 0.500 0.500
K2 0.000 0.000 0.500
Ti1 0.000 0.000 0.000
```

---

Here is an optimized crystal structure of K2TiAuS4 from Alexandria via LeMat-Bulk. Energies are from GGA-PBE.

Values from the calculation:
The value obtained for the formation energy from raw total energies is -0.96 eV/atom. As for the symmetry: No. 70.

Structure (CIF):
```
data_K2TiAuS4
_chemical_formula_sum 'K4 Ti2 Au2 S8'
_cell_length_a 5.890
_cell_length_b 7.213
_cell_length_c 11.967
_cell_angle_alpha 84.23
_cell_angle_beta 75.75
_cell_angle_gamma 65.90
_space_group_name_H-M_alt 'P 1'
_space_group_IT_number 1
_space_group_name_Hall 'P 1'
loop_
_atom_site_label
_atom_site_fract_x
_atom_site_fract_y
_atom_site_fract_z
S1 0.937 0.797 0.888
K1 0.570 0.500 0.860
K2 0.820 0.000 0.360
Au1 0.500 0.000 0.000
K3 0.930 0.500 0.140
S2 0.484 0.703 0.388
K4 0.180 0.000 0.640
S3 0.622 0.203 0.112
S4 0.128 0.297 0.388
Ti1 0.750 0.500 0.500
S5 0.266 0.797 0.112
S6 0.175 0.203 0.888
Au2 0.250 0.500 0.500
Ti2 0.000 0.000 0.000
S7 0.813 0.703 0.612
S8 0.575 0.297 0.612
```

---

Here is an optimized crystal structure of KTlAuS2 from Alexandria via LeMat-Bulk. Energies are from GGA-PBE.

Values from the calculation:
The value obtained for the formation energy from raw total energies is -0.49 eV/atom. As for the symmetry: No. 13.

Structure (CIF):
```
data_KTlAuS2
_chemical_formula_sum 'K2 Tl2 Au2 S4'
_cell_length_a 5.112
_cell_length_b 7.487
_cell_length_c 8.168
_cell_angle_alpha 112.02
_cell_angle_beta 90.00
_cell_angle_gamma 90.00
_space_group_name_H-M_alt 'P 1'
_space_group_IT_number 1
_space_group_name_Hall 'P 1'
loop_
_atom_site_label
_atom_site_fract_x
_atom_site_fract_y
_atom_site_fract_z
K1 0.779 0.500 0.250
K2 0.221 0.500 0.750
Tl1 0.594 0.000 0.750
S1 0.282 0.752 0.500
Tl2 0.406 0.000 0.250
Au1 0.000 0.000 0.000
S2 0.282 0.248 0.000
S3 0.718 0.752 0.000
Au2 0.000 0.000 0.500
S4 0.718 0.248 0.500
```